Entry 1:
The following is a DFT calculation (PBE) of a geometry-optimized Pu4GaGe2 structure.

Properties
Energy relative to the lowest polymorph listed for this composition   0.00 eV per formula unit
V   350.49 Å³ per cell

The structure in extended XYZ format:
```
14
Lattice="5.5812 0.0000 0.0000 0.0000 5.5812 0.0000 0.0000 0.0000 11.2518" Properties=species:S:1:pos:R:3 pbc="T T T"
Pu 0.0000 2.7906 0.0000
Pu 0.0000 2.7906 2.8130
Pu 0.0000 2.7906 5.6259
Pu 0.0000 2.7906 8.4389
Pu 2.7906 0.0000 0.0000
Pu 2.7906 0.0000 2.8130
Pu 2.7906 0.0000 5.6259
Pu 2.7906 0.0000 8.4389
Ga 0.0000 0.0000 0.0000
Ga 2.7906 2.7906 5.6259
Ge 0.0000 0.0000 4.2687
Ge 0.0000 0.0000 6.9831
Ge 2.7906 2.7906 1.3572
Ge 2.7906 2.7906 9.8946
```

***

Entry 2:
The following is a DFT calculation (PBE) of a geometry-optimized Pu3Ga4Ge structure.

Properties
Electronic total energy   -7.65 eV per atom
V   338.52 Å³ per cell

The structure in extended XYZ format:
```
16
Lattice="2.8685 0.0000 0.0000 0.0000 9.5456 0.0000 0.0000 0.0000 12.3630" Properties=species:S:1:pos:R:3 pbc="T T T"
Pu 0.0000 0.0000 0.0000
Pu 0.0000 4.7728 2.7356
Pu 0.0000 4.7728 9.6274
Pu 1.4342 0.0000 3.4459
Pu 1.4342 0.0000 8.9171
Pu 1.4342 4.7728 6.1815
Ga 0.0000 2.4351 4.7731
Ga 0.0000 2.4351 7.5899
Ga 0.0000 7.1104 4.7731
Ga 0.0000 7.1104 7.5899
Ga 1.4342 2.3376 1.4084
Ga 1.4342 2.3376 10.9546
Ga 1.4342 7.2079 1.4084
Ga 1.4342 7.2079 10.9546
Ge 0.0000 0.0000 6.1815
Ge 1.4342 4.7728 0.0000
```

***

Entry 3:
The following is a DFT calculation (PBE) of a geometry-optimized Pu3Ga2Ge3 structure.

Properties
Electronic total energy   -7.53 eV per atom
V   313.02 Å³ per cell

The structure in extended XYZ format:
```
16
Lattice="7.7165 0.0000 0.0000 -3.8582 6.6827 0.0000 0.0000 0.0000 6.0701" Properties=species:S:1:pos:R:3 pbc="T T T"
Pu -0.6867 1.1894 1.5175
Pu -3.1715 5.4933 4.5526
Pu 1.3734 0.0000 1.5175
Pu 0.6867 1.1894 4.5526
Pu 6.3431 0.0000 4.5526
Pu 3.1715 5.4933 1.5175
Ga 0.0000 4.4551 0.0000
Ga 0.0000 4.4551 3.0351
Ga 3.8582 2.2276 0.0000
Ga 3.8582 2.2276 3.0351
Ge -1.6851 2.9186 4.5526
Ge -2.1732 3.7641 1.5175
Ge 3.3701 0.0000 4.5526
Ge 1.6851 2.9186 1.5175
Ge 4.3464 0.0000 1.5175
Ge 2.1732 3.7641 4.5526
```

***

Entry 4:
The following is a DFT calculation (PBE) of a geometry-optimized Pu8GaGe3 structure.

Properties
Electronic total energy   -11.03 eV per atom
V   285.61 Å³ per cell

The structure in extended XYZ format:
```
12
Lattice="5.0047 -5.0592 0.0000 5.0047 5.0592 0.0000 -4.8350 0.0000 5.6401" Properties=species:S:1:pos:R:3 pbc="T T T"
Pu 0.0000 0.0000 0.0000
Pu -1.9718 0.0000 2.9459
Pu 0.7148 2.5189 4.0646
Pu -1.8713 0.0000 5.4729
Pu 2.8857 2.2370 2.7533
Pu 5.9849 0.0000 0.0173
Pu 0.7148 -2.5189 4.0646
Pu 2.8857 -2.2370 2.7533
Ga 4.8407 0.0000 2.6878
Ge -1.7994 2.9697 5.6360
Ge 1.0944 0.0000 2.6420
Ge -1.7994 -2.9697 5.6360
```

***

Entry 5:
The following is a DFT calculation (PBE) of a geometry-optimized PuGaGe2 structure.

Properties
Energy relative to the lowest polymorph listed for this composition   0.92 eV per formula unit
V   247.62 Å³ per cell

The structure in extended XYZ format:
```
12
Lattice="4.4630 0.0000 0.0000 -2.2315 3.8651 0.0000 0.0000 0.0000 14.3549" Properties=species:S:1:pos:R:3 pbc="T T T"
Pu 0.0000 0.0000 0.0000
Pu 0.0000 2.5767 9.5699
Pu 2.2315 1.2884 4.7849
Ga 0.0000 0.0000 7.1774
Ga 0.0000 2.5767 2.3925
Ga 2.2315 1.2884 11.9624
Ge 0.0000 0.0000 3.1789
Ge 0.0000 0.0000 11.1760
Ge 0.0000 2.5767 6.3910
Ge 0.0000 2.5767 12.7488
Ge 2.2315 1.2884 1.6061
Ge 2.2315 1.2884 7.9638
```

***

Entry 6:
The following is a DFT calculation (PBE) of a geometry-optimized Pu4Ga3Ge structure.

Properties
Energy relative to the lowest polymorph listed for this composition   0.00 eV per formula unit
V   174.21 Å³ per cell

The structure in extended XYZ format:
```
8
Lattice="4.1064 0.0000 0.0000 0.0000 4.6052 0.0000 0.0000 0.0000 9.2123" Properties=species:S:1:pos:R:3 pbc="T T T"
Pu 0.0000 0.0000 0.0000
Pu 0.0000 0.0000 4.6062
Pu 0.0000 2.3026 2.2765
Pu 0.0000 2.3026 6.9359
Ga 2.0532 0.0000 2.3382
Ga 2.0532 0.0000 6.8741
Ga 2.0532 2.3026 4.6062
Ge 2.0532 2.3026 0.0000
```

***

Entry 7:
The following is a DFT calculation (PBE) of a geometry-optimized Pu4GaGe2 structure.

Properties
Energy relative to the lowest polymorph listed for this composition   0.07 eV per formula unit
V   151.27 Å³ per cell

The structure in extended XYZ format:
```
7
Lattice="2.4767 1.4299 7.1186 -2.4767 1.4299 7.1186 0.0000 -2.8599 7.1186" Properties=species:S:1:pos:R:3 pbc="T T T"
Pu 0.0000 0.0000 2.0222
Pu 0.0000 0.0000 5.3084
Pu 0.0000 0.0000 16.0475
Pu 0.0000 0.0000 19.3337
Ga 0.0000 0.0000 10.6780
Ge 0.0000 0.0000 8.1749
Ge 0.0000 0.0000 13.1810
```

***

Entry 8:
The following is a DFT calculation (PBE) of a geometry-optimized Pu2GaGe3Rh4 structure.

Properties
Electronic total energy   -8.16 eV per atom
V   181.43 Å³ per cell

The structure in extended XYZ format:
```
10
Lattice="4.1907 0.0000 0.0000 0.0000 4.1907 0.0000 0.0000 0.0000 10.3307" Properties=species:S:1:pos:R:3 pbc="T T T"
Pu 0.0000 2.0954 2.5596
Pu 2.0954 0.0000 7.7711
Ga 2.0954 2.0954 0.0000
Ge 0.0000 0.0000 0.0000
Ge 0.0000 2.0954 6.4994
Ge 2.0954 0.0000 3.8313
Rh 0.0000 0.0000 5.1654
Rh 0.0000 2.0954 8.9507
Rh 2.0954 0.0000 1.3800
Rh 2.0954 2.0954 5.1654
```

***

Entry 9:
The following is a DFT calculation (PBE) of a geometry-optimized Pu2GaGe4Rh3 structure.

Properties
Electronic total energy   -7.76 eV per atom
V   184.67 Å³ per cell

The structure in extended XYZ format:
```
10
Lattice="4.2222 0.0000 0.0000 0.0000 4.2222 0.0000 0.0000 0.0000 10.3591" Properties=species:S:1:pos:R:3 pbc="T T T"
Pu 0.0000 2.1111 2.5369
Pu 2.1111 0.0000 7.8222
Ga 0.0000 0.0000 5.1796
Ge 0.0000 0.0000 0.0000
Ge 0.0000 2.1111 6.6593
Ge 2.1111 0.0000 3.6998
Ge 2.1111 2.1111 0.0000
Rh 0.0000 2.1111 9.0721
Rh 2.1111 0.0000 1.2870
Rh 2.1111 2.1111 5.1796
```

***

Entry 10:
The following is a DFT calculation (PBE) of a geometry-optimized PuGaGeSb structure.

Properties
Formation energy from raw total energies   -390 meV per atom
V   86.51 Å³ per cell

The structure in extended XYZ format:
```
4
Lattice="4.3281 0.0000 0.0000 0.0000 4.3942 0.0000 0.0000 0.0000 4.5488" Properties=species:S:1:pos:R:3 pbc="T T T"
Pu 0.0000 0.0000 0.0000
Ga 0.0000 2.1971 2.2744
Ge 2.1641 2.1971 0.0000
Sb 2.1641 0.0000 2.2744
```

***

Entry 11:
The following is a DFT calculation (PBE) of a geometry-optimized PuGaSiGe structure.

Properties
Formation energy from raw total energies   -356 meV per atom
V   73.88 Å³ per cell

The structure in extended XYZ format:
```
4
Lattice="4.1202 0.0000 0.0000 0.0000 4.2117 0.0000 0.0000 0.0000 4.2572" Properties=species:S:1:pos:R:3 pbc="T T T"
Pu 0.0000 0.0000 0.0000
Ga 0.0000 2.1059 2.1286
Si 2.0601 2.1059 0.0000
Ge 2.0601 0.0000 2.1286
```

***

Entry 12:
The following is a DFT calculation (PBE) of a geometry-optimized SmPuGaGe structure.

Properties
Electronic total energy   -7.11 eV per atom
V   375.05 Å³ per cell

The structure in extended XYZ format:
```
16
Lattice="7.2116 0.0000 0.0000 0.0000 7.2116 0.0000 0.0000 0.0000 7.2116" Properties=species:S:1:pos:R:3 pbc="T T T"
Sm 0.0000 0.0000 0.0000
Sm 0.0000 3.6058 3.6058
Sm 3.6058 0.0000 3.6058
Sm 3.6058 3.6058 0.0000
Pu 0.0000 0.0000 3.6058
Pu 0.0000 3.6058 0.0000
Pu 3.6058 0.0000 0.0000
Pu 3.6058 3.6058 3.6058
Ga 1.8029 1.8029 1.8029
Ga 1.8029 5.4087 5.4087
Ga 5.4087 1.8029 5.4087
Ga 5.4087 5.4087 1.8029
Ge 1.8029 1.8029 5.4087
Ge 1.8029 5.4087 1.8029
Ge 5.4087 1.8029 1.8029
Ge 5.4087 5.4087 5.4087
```

***

Entry 13:
The following is a DFT calculation (PBE) of a geometry-optimized PuGaTc2Ge structure.

Properties
Electronic total energy   -8.73 eV per atom
V   184.19 Å³ per cell

The structure in extended XYZ format:
```
10
Lattice="2.8347 -5.6526 0.0000 2.8347 5.6526 0.0000 0.0000 0.0000 5.7474" Properties=species:S:1:pos:R:3 pbc="T T T"
Pu 2.8347 2.9130 4.3105
Pu 2.8347 -2.9130 1.4368
Ga 2.8347 4.2623 1.4368
Ga 2.8347 -4.2623 4.3105
Tc 1.6285 0.0000 0.0000
Tc 1.6285 0.0000 2.8737
Tc 4.0409 0.0000 0.0000
Tc 4.0409 0.0000 2.8737
Ge 2.8347 1.7504 1.4368
Ge 2.8347 -1.7504 4.3105
```

***

Entry 14:
The following is a DFT calculation (PBE) of a geometry-optimized Pu2Ga2TcGe4 structure.

Properties
Electronic total energy   -7.41 eV per atom
V   170.89 Å³ per cell

The structure in extended XYZ format:
```
9
Lattice="-3.1261 3.1261 4.3718 3.1261 -3.1261 4.3718 3.1261 3.1261 -4.3718" Properties=species:S:1:pos:R:3 pbc="T T T"
Pu 3.1261 0.0000 2.1859
Pu 0.0000 3.1261 2.1859
Ga 0.0000 0.0000 1.8702
Ga 0.0000 0.0000 6.8733
Tc 0.0000 0.0000 4.3718
Ge 1.3695 1.3695 0.0000
Ge 1.7566 -1.7566 4.3718
Ge -1.7566 1.7566 4.3718
Ge 1.7566 1.7566 4.3718
```

***

Entry 15:
The following is a DFT calculation (PBE) of a geometry-optimized PuZnGaGe structure.

Properties
Energy relative to the lowest polymorph listed for this composition   0.55 eV per formula unit
V   311.08 Å³ per cell

The structure in extended XYZ format:
```
16
Lattice="6.7757 0.0000 0.0000 0.0000 6.7757 0.0000 0.0000 0.0000 6.7757" Properties=species:S:1:pos:R:3 pbc="T T T"
Pu 0.0000 0.0000 0.0000
Pu 0.0000 3.3879 3.3879
Pu 3.3879 0.0000 3.3879
Pu 3.3879 3.3879 0.0000
Zn 0.0000 0.0000 3.3879
Zn 0.0000 3.3879 0.0000
Zn 3.3879 0.0000 0.0000
Zn 3.3879 3.3879 3.3879
Ga 1.6939 1.6939 1.6939
Ga 1.6939 5.0818 5.0818
Ga 5.0818 1.6939 5.0818
Ga 5.0818 5.0818 1.6939
Ge 1.6939 1.6939 5.0818
Ge 1.6939 5.0818 1.6939
Ge 5.0818 1.6939 1.6939
Ge 5.0818 5.0818 5.0818
```

***

Entry 16:
The following is a DFT calculation (PBE) of a geometry-optimized PuZnGaGe structure.

Properties
Energy relative to the lowest polymorph listed for this composition   0.00 eV per formula unit
V   77.75 Å³ per cell

The structure in extended XYZ format:
```
4
Lattice="4.1530 0.0000 0.0000 0.0000 4.2096 0.0000 0.0000 0.0000 4.4475" Properties=species:S:1:pos:R:3 pbc="T T T"
Pu 0.0000 0.0000 0.0000
Zn 0.0000 2.1048 2.2237
Ga 2.0765 0.0000 2.2237
Ge 2.0765 2.1048 0.0000
```

***

Entry 17:
The following is a DFT calculation (PBE) of a geometry-optimized RbGaGe2 structure.

Properties
Electronic total energy   -3.22 eV per atom
V   511.08 Å³ per cell

The structure in extended XYZ format:
```
16
Lattice="5.3936 0.0000 0.0000 0.0000 5.3936 0.0000 0.0000 0.0000 17.5684" Properties=species:S:1:pos:R:3 pbc="T T T"
Rb 0.0000 1.3484 6.5882
Rb 0.0000 4.0452 10.9803
Rb 2.6968 1.3484 2.1961
Rb 2.6968 4.0452 15.3724
Ga 0.0000 1.3484 15.3724
Ga 0.0000 4.0452 2.1961
Ga 2.6968 1.3484 10.9803
Ga 2.6968 4.0452 6.5882
Ge 0.0000 0.0000 0.0000
Ge 0.0000 2.6968 0.0000
Ge 1.3484 1.3484 13.1763
Ge 1.3484 4.0452 4.3921
Ge 2.6968 0.0000 8.7842
Ge 2.6968 2.6968 8.7842
Ge 4.0452 1.3484 13.1763
Ge 4.0452 4.0452 4.3921
```

***

Entry 18:
The following is a DFT calculation (PBE) of a geometry-optimized Rb3Ga2Ge4 structure.

Properties
Electronic total energy   -3.07 eV per atom
V   288.74 Å³ per cell

The structure in extended XYZ format:
```
9
Lattice="9.5396 -2.0350 0.0000 9.5396 2.0350 0.0000 -3.5362 0.0000 7.4365" Properties=species:S:1:pos:R:3 pbc="T T T"
Rb 0.0000 0.0000 0.0000
Rb 1.0877 0.0000 4.0201
Rb 14.4552 0.0000 3.4165
Ga 6.3353 0.0000 0.8482
Ga 9.2076 0.0000 6.5884
Ge 3.7397 0.0000 0.6838
Ge 8.1822 0.0000 2.5605
Ge 7.3607 0.0000 4.8760
Ge 11.8032 0.0000 6.7528
```

***

Entry 19:
The following is a DFT calculation (PBE) of a geometry-optimized Rb2Ga5Ge3 structure.

Properties
Energy relative to the lowest polymorph listed for this composition   0.22 eV per formula unit
V   240.22 Å³ per cell

The structure in extended XYZ format:
```
10
Lattice="4.7105 0.0000 0.0000 0.0000 4.7105 0.0000 0.0000 0.0000 10.8262" Properties=species:S:1:pos:R:3 pbc="T T T"
Rb 0.0000 2.3552 2.6699
Rb 2.3552 0.0000 8.1562
Ga 0.0000 0.0000 5.4131
Ga 0.0000 2.3552 6.7963
Ga 2.3552 0.0000 4.0299
Ga 2.3552 2.3552 0.0000
Ga 2.3552 2.3552 5.4131
Ge 0.0000 0.0000 0.0000
Ge 0.0000 2.3552 9.4910
Ge 2.3552 0.0000 1.3351
```

***

Entry 20:
The following is a DFT calculation (PBE) of a geometry-optimized RbGaGe2 structure.

Properties
Electronic total energy   -3.30 eV per atom
V   100.91 Å³ per cell

The structure in extended XYZ format:
```
4
Lattice="3.6297 0.0000 0.0000 0.0000 3.6297 0.0000 0.0000 0.0000 7.6596" Properties=species:S:1:pos:R:3 pbc="T T T"
Rb 0.0000 0.0000 0.0000
Ga 0.0000 0.0000 3.8298
Ge 1.8149 1.8149 2.5569
Ge 1.8149 1.8149 5.1027
```

***

Entry 21:
The following is a DFT calculation (PBE) of a geometry-optimized Rb2GaGe structure.

Properties
Energy relative to the lowest polymorph listed for this composition   0.00 eV per formula unit
V   316.02 Å³ per cell

The structure in extended XYZ format:
```
8
Lattice="11.5710 0.0000 0.0000 0.0000 6.7464 0.0000 -1.6402 0.0000 4.0483" Properties=species:S:1:pos:R:3 pbc="T T T"
Rb 1.7892 0.0000 0.7286
Rb 2.3561 3.3732 3.3197
Rb 7.5747 3.3732 0.7286
Rb 8.1416 0.0000 3.3197
Ga -0.8201 4.3856 2.0241
Ga 4.9654 1.0124 2.0241
Ge 0.0000 3.1969 0.0000
Ge 5.7855 6.5702 0.0000
```

***

Entry 22:
The following is a DFT calculation (PBE) of a geometry-optimized RbGa4Ge3 structure.

Properties
Electronic total energy   -3.38 eV per atom
V   181.66 Å³ per cell

The structure in extended XYZ format:
```
8
Lattice="4.8723 0.0000 0.0000 0.0000 4.8723 0.0000 0.0000 0.0000 7.6523" Properties=species:S:1:pos:R:3 pbc="T T T"
Rb 0.0000 0.0000 0.0000
Ga 0.0000 2.4362 2.4922
Ga 0.0000 2.4362 5.1602
Ga 2.4362 0.0000 2.4922
Ga 2.4362 0.0000 5.1602
Ge 0.0000 0.0000 3.8262
Ge 2.4362 2.4362 1.3321
Ge 2.4362 2.4362 6.3203
```

***

Entry 23:
The following is a DFT calculation (PBE) of a geometry-optimized RbGa4Ge2 structure.

Properties
Energy relative to the lowest polymorph listed for this composition   0.37 eV per formula unit
V   173.22 Å³ per cell

The structure in extended XYZ format:
```
7
Lattice="2.3690 1.3677 8.9100 -2.3690 1.3677 8.9100 0.0000 -2.7355 8.9100" Properties=species:S:1:pos:R:3 pbc="T T T"
Rb 0.0000 0.0000 0.0000
Ga 0.0000 0.0000 3.7649
Ga 0.0000 0.0000 11.9537
Ga 0.0000 0.0000 14.7762
Ga 0.0000 0.0000 22.9651
Ge 0.0000 0.0000 6.4517
Ge 0.0000 0.0000 20.2782
```

***

Entry 24:
The following is a DFT calculation (PBE) of a geometry-optimized RbGa4Ge2 structure.

Properties
Energy relative to the lowest polymorph listed for this composition   0.00 eV per formula unit
V   339.83 Å³ per cell

The structure in extended XYZ format:
```
14
Lattice="4.8646 0.0000 0.0000 0.0000 14.7834 0.0000 0.0000 0.0000 4.7254" Properties=species:S:1:pos:R:3 pbc="T T T"
Rb 0.0000 0.0000 0.0000
Rb 2.4323 7.3917 0.0000
Ga 0.0000 2.8197 2.3627
Ga 0.0000 4.3474 0.0000
Ga 0.0000 10.4360 0.0000
Ga 0.0000 11.9637 2.3627
Ga 2.4323 3.0443 0.0000
Ga 2.4323 4.5720 2.3627
Ga 2.4323 10.2114 2.3627
Ga 2.4323 11.7390 0.0000
Ge 0.0000 5.6778 2.3627
Ge 0.0000 9.1056 2.3627
Ge 2.4323 1.7139 2.3627
Ge 2.4323 13.0695 2.3627
```

***

Entry 25:
The following is a DFT calculation (PBE) of a geometry-optimized Rb2Ga6Ge3 structure.

Properties
Electronic total energy   -3.13 eV per atom
V   288.05 Å³ per cell

The structure in extended XYZ format:
```
11
Lattice="8.5799 0.0000 0.0000 -4.2900 7.4304 0.0000 0.0000 0.0000 4.5183" Properties=species:S:1:pos:R:3 pbc="T T T"
Rb 0.0000 4.9536 0.0000
Rb 4.2900 2.4768 0.0000
Ga -1.1234 1.9458 2.2591
Ga -3.5268 6.1086 0.0000
Ga 0.7632 1.3219 0.0000
Ga 2.2469 0.0000 2.2591
Ga 3.1665 5.4846 2.2591
Ga 7.0536 0.0000 0.0000
Ge -2.8411 4.9210 2.2591
Ge 1.4488 2.5095 2.2591
Ge 5.6823 0.0000 2.2591
```